(1)
VASP calculation (GGA-PBE) on an optimized crystal structure of LiLa2Dy.

It has space group Fm-3m (No. 225), with a = 8.0186 Å, b = 8.0186 Å, c = 8.0186 Å, α = 90.00°, β = 90.00° and γ = 90.00°. The asymmetric unit holds Li at (0.0000, 0.0000, 0.0000), La at (0.2500, 0.2500, 0.2500) and Dy at (0.0000, 0.0000, 0.5000).

The density of states at the Fermi level is 18.3 states/eV/cell. The total DFT energy (no corrections) comes out at -3.953 eV/atom.

(2)
VASP calculation (GGA-PBE) on an optimized crystal structure of RbH8Os2.

It has space group Cm (No. 8), with a = 4.7894 Å, b = 8.3244 Å, c = 5.8545 Å, α = 90.00°, β = 90.08° and γ = 90.00°. The asymmetric unit holds Rb at (0.0000, 0.0000, 0.0000), H at (0.0027, 0.3354, 0.7878), H at (0.1494, 0.1499, 0.6109), H at (0.2021, 0.5000, 0.6069), H at (0.3120, 0.3134, 0.3429), H at (0.3726, 0.0000, 0.3449) and Os at (0.9999, 0.3330, 0.5110).

The density of states at the Fermi level is 5.1 states/eV/cell. The total DFT energy (no corrections) comes out at -4.457 eV/atom.

(3)
VASP calculation (GGA-PBE) on an optimized crystal structure of CaCoW2.

It has space group Cmmm (No. 65), with a = 3.6266 Å, b = 4.1476 Å, c = 8.9697 Å, α = 90.00°, β = 90.00° and γ = 90.00°. The asymmetric unit holds Ca at (0.0000, 0.0000, 0.0000), Co at (0.0000, 0.0000, 0.5000) and W at (0.0000, 0.5000, 0.2997).

The density of states at the Fermi level is 10.2 states/eV/cell. The total DFT energy (no corrections) comes out at -8.123 eV/atom.